Entry 1:
# PaBi2I PBE-GGA relaxed
# density of states at the Fermi level	6.72	states/eV/f.u.
# ΔE_f (raw)	0.262	eV/atom
data_PaBi2I
_chemical_formula_sum 'Pa3 Bi6 I3'
_symmetry_space_group_name_H-M 'R -3 m'
_symmetry_Int_Tables_number 166
_symmetry_space_group_name_Hall '-R 3 2"'
_cell_length_a 4.8365
_cell_length_b 4.8365
_cell_length_c 23.3531
_cell_angle_alpha 90.00
_cell_angle_beta 90.00
_cell_angle_gamma 120.00
loop_
_atom_site_label
_atom_site_type_symbol
_atom_site_fract_x
_atom_site_fract_y
_atom_site_fract_z
Pa1 Pa 0.0000 0.0000 0.0000
Bi1 Bi 0.0000 0.0000 0.2718
I1 I 0.0000 0.0000 0.5000

=====

Entry 2:
# Pa2BiI PBE-GGA relaxed
# density of states at the Fermi level	10.81	states/eV/f.u.
# ΔE_f (raw)	-0.046	eV/atom
data_Pa2BiI
_chemical_formula_sum 'Pa2 Bi1 I1'
_symmetry_space_group_name_H-M 'P 4/m m m'
_symmetry_Int_Tables_number 123
_symmetry_space_group_name_Hall '-P 4 2'
_cell_length_a 3.8041
_cell_length_b 3.8041
_cell_length_c 7.6044
_cell_angle_alpha 90.00
_cell_angle_beta 90.00
_cell_angle_gamma 90.00
loop_
_atom_site_label
_atom_site_type_symbol
_atom_site_fract_x
_atom_site_fract_y
_atom_site_fract_z
Pa1 Pa 0.0000 0.0000 0.2434
Bi1 Bi 0.5000 0.5000 0.0000
I1 I 0.5000 0.5000 0.5000

=====

Entry 3:
# PaBi2I PBE-GGA relaxed
# density of states at the Fermi level	3.18	states/eV/f.u.
# ΔE_f (raw)	-0.205	eV/atom
data_PaBi2I
_chemical_formula_sum 'Pa1 Bi2 I1'
_symmetry_space_group_name_H-M 'P 4/m m m'
_symmetry_Int_Tables_number 123
_symmetry_space_group_name_Hall '-P 4 2'
_cell_length_a 4.2150
_cell_length_b 4.2150
_cell_length_c 7.2871
_cell_angle_alpha 90.00
_cell_angle_beta 90.00
_cell_angle_gamma 90.00
loop_
_atom_site_label
_atom_site_type_symbol
_atom_site_fract_x
_atom_site_fract_y
_atom_site_fract_z
Pa1 Pa 0.0000 0.0000 0.0000
Bi1 Bi 0.5000 0.5000 0.2041
I1 I 0.0000 0.0000 0.5000

=====

Entry 4:
# PuPaBiI PBE-GGA relaxed
# density of states at the Fermi level	7.13	states/eV/f.u.
# ΔE_f (raw)	-0.300	eV/atom
data_PuPaBiI
_chemical_formula_sum 'Pu4 Pa4 Bi4 I4'
_symmetry_space_group_name_H-M 'F -4 3 m'
_symmetry_Int_Tables_number 216
_symmetry_space_group_name_Hall 'F -4 2 3'
_cell_length_a 7.6814
_cell_length_b 7.6814
_cell_length_c 7.6814
_cell_angle_alpha 90.00
_cell_angle_beta 90.00
_cell_angle_gamma 90.00
loop_
_atom_site_label
_atom_site_type_symbol
_atom_site_fract_x
_atom_site_fract_y
_atom_site_fract_z
Pu1 Pu 0.0000 0.0000 0.0000
Pa1 Pa 0.0000 0.0000 0.5000
Bi1 Bi 0.2500 0.2500 0.7500
I1 I 0.2500 0.2500 0.2500

=====

Entry 5:
# BiPb2I PBE-GGA relaxed
# density of states at the Fermi level	0.23	states/eV/f.u.
# ΔE_f (raw)	-0.196	eV/atom
data_BiPb2I
_chemical_formula_sum 'Bi3 Pb6 I3'
_symmetry_space_group_name_H-M 'R -3 m'
_symmetry_Int_Tables_number 166
_symmetry_space_group_name_Hall '-R 3 2"'
_cell_length_a 4.7498
_cell_length_b 4.7498
_cell_length_c 23.4142
_cell_angle_alpha 90.00
_cell_angle_beta 90.00
_cell_angle_gamma 120.00
loop_
_atom_site_label
_atom_site_type_symbol
_atom_site_fract_x
_atom_site_fract_y
_atom_site_fract_z
Bi1 Bi 0.0000 0.0000 0.0000
Pb1 Pb 0.0000 0.0000 0.2609
I1 I 0.0000 0.0000 0.5000

=====

Entry 6:
# Bi3PbI PBE-GGA relaxed
# density of states at the Fermi level	6.67	states/eV/f.u.
# ΔE_f (raw)	0.710	eV/atom
data_Bi3PbI
_chemical_formula_sum 'Bi3 Pb1 I1'
_symmetry_space_group_name_H-M 'P m -3 m'
_symmetry_Int_Tables_number 221
_symmetry_space_group_name_Hall '-P 4 2 3'
_cell_length_a 5.9946
_cell_length_b 5.9946
_cell_length_c 5.9946
_cell_angle_alpha 90.00
_cell_angle_beta 90.00
_cell_angle_gamma 90.00
loop_
_atom_site_label
_atom_site_type_symbol
_atom_site_fract_x
_atom_site_fract_y
_atom_site_fract_z
Bi1 Bi 0.0000 0.0000 0.5000
Pb1 Pb 0.0000 0.0000 0.0000
I1 I 0.5000 0.5000 0.5000